Entry 1:
# CsCd2HgPt (PBE, relaxed)
# Distance to the lowest polymorph of the same formula: 0.000 eV per atom
# SG: P4/mmm (123)
data_CsCd2HgPt
_chemical_formula_sum 'Cs1 Cd2 Hg1 Pt1'
_space_group_name_H-M_alt 'P 1'
_space_group_IT_number 1
_space_group_name_Hall 'P 1'
_cell_length_a 5.3966
_cell_length_b 5.3966
_cell_length_c 5.4680
_cell_angle_alpha 90.00
_cell_angle_beta 90.00
_cell_angle_gamma 90.00
loop_
_atom_site_label
_atom_site_type_symbol
_atom_site_fract_x
_atom_site_fract_y
_atom_site_fract_z
Pt1 Pt 0.0000 0.0000 0.0000
Cs1 Cs 0.5000 0.5000 0.5000
Cd1 Cd 0.0000 0.5000 0.0000
Cd2 Cd 0.5000 0.0000 0.0000
Hg1 Hg 0.0000 0.0000 0.5000

=====

Entry 2:
# Cs4Rb2Cd2Hg (PBE, relaxed)
# SG: P-1 (2)
data_Cs4Rb2Cd2Hg
_chemical_formula_sum 'Cs4 Rb2 Cd2 Hg1'
_space_group_name_H-M_alt 'P 1'
_space_group_IT_number 1
_space_group_name_Hall 'P 1'
_cell_length_a 7.5162
_cell_length_b 8.7529
_cell_length_c 11.8989
_cell_angle_alpha 109.10
_cell_angle_beta 113.77
_cell_angle_gamma 68.60
loop_
_atom_site_label
_atom_site_type_symbol
_atom_site_fract_x
_atom_site_fract_y
_atom_site_fract_z
Cs1 Cs 0.5757 0.7944 0.1090
Cs2 Cs 0.4243 0.2056 0.8910
Cs3 Cs 0.9565 0.8063 0.6571
Cs4 Cs 0.0435 0.1937 0.3429
Cd1 Cd 0.0323 0.6435 0.9726
Cd2 Cd 0.9677 0.3565 0.0274
Rb1 Rb 0.3220 0.5826 0.3088
Rb2 Rb 0.6780 0.4174 0.6912
Hg1 Hg 0.0000 0.0000 0.0000

=====

no.,formation energy (meV per atom)
1,-268.6
2,-56.0